Record 1
La3InRe (PBE, relaxed); space group = No. 221; D(E_F) = 5.2 states/eV/f.u.; ΔE_f = 0.1 eV per formula unit
1.0
5.5213 0.0000 0.0000
0.0000 5.5213 0.0000
0.0000 0.0000 5.5213
La Re In
3 1 1
Cartesian
0.0000 2.7606 0.0000
2.7606 0.0000 0.0000
0.0000 0.0000 2.7606
0.0000 0.0000 0.0000
2.7606 2.7606 2.7606

Record 2
LaInRe2 (PBE, relaxed); space group = No. 166; D(E_F) = 7.2 states/eV/f.u.; ΔE_f = 3.6 eV per formula unit
1.0
-3.1842 -9.5800 -2.3195
-0.2601 -10.0766 -2.3854
-1.7300 -10.2111 0.1881
Re La In
2 1 1
Cartesian
-2.6267 -15.1622 -2.2929
-5.1347 -29.6393 -4.4823
-3.8807 -22.4008 -3.3876
-1.2936 -7.4669 -1.1292

Record 3
LaInRe2 (PBE, relaxed); space group = No. 123; D(E_F) = 5.0 states/eV/f.u.; ΔE_f = 3.1 eV per formula unit
1.0
-2.6722 2.8085 -1.7908
-1.4820 -3.1037 -2.6561
-3.0484 -1.0406 2.9169
In La Re
1 1 2
Cartesian
-2.0771 -0.1476 -2.2234
-2.8603 0.8840 0.5631
-2.2652 -2.0721 0.1304
0.0000 0.0000 0.0000